# ScMnTc2

Crystalline ScMnTc2 at its relaxed geometry (PBE, the Alexandria database).

a b c (Å): 9.1426 9.1426 9.1426
angles (deg): 17.85 17.85 17.85
Fractional coordinates of all 4 atoms:
Mn 0.5031 0.5031 0.5031
Sc 0.7518 0.7518 0.7518
Tc 0.9942 0.9942 0.9942
Tc 0.2508 0.2508 0.2508

Summary:
- magnetization (μB per formula unit) = 2.5
- energy above the lowest structure with this stoichiometry (eV per atom) = 0.251
- space-group type = No. 160
- ΔH_f (0 K) (eV/atom) = 0.220

# ScMn2Tc

Crystalline ScMn2Tc at its relaxed geometry (PBE, the Alexandria database).

a b c (Å): 4.1108 2.7777 5.3537
angles (deg): 75.57 90.00 90.00
Fractional coordinates of all 4 atoms:
Mn 0.0000 0.9646 0.9713
Mn 0.0000 0.5354 0.5287
Sc 0.5000 0.2500 0.2500
Tc 0.5000 0.7500 0.7500

Summary:
- magnetization (μB per formula unit) = 3.9
- energy above the lowest structure with this stoichiometry (eV per atom) = 0.121
- space-group type = No. 10
- ΔH_f (0 K) (eV/atom) = 0.149

# ScMnTc

Crystalline ScMnTc at its relaxed geometry (PBE, the Alexandria database).

a b c (Å): 4.2786 4.2786 2.8847
angles (deg): 90.00 90.00 120.00
Fractional coordinates of all 3 atoms:
Mn 0.0000 0.0000 0.9454
Sc 0.6667 0.3333 0.3382
Tc 0.3333 0.6667 0.7164

Summary:
- magnetization (μB per formula unit) = 0.8
- energy above the lowest structure with this stoichiometry (eV per atom) = 0.288
- space-group type = No. 156
- ΔH_f (0 K) (eV/atom) = 0.075

# ScMnTc2

Crystalline ScMnTc2 at its relaxed geometry (PBE, the Alexandria database).

a b c (Å): 3.0798 3.0792 6.4004
angles (deg): 90.00 90.00 90.00
Fractional coordinates of all 4 atoms:
Mn 0.5000 0.5000 0.2500
Sc 0.5000 0.5000 0.7500
Tc 0.0000 0.0000 0.0317
Tc 0.0000 0.0000 0.4683

Summary:
- magnetization (μB per formula unit) = 1.1
- energy above the lowest structure with this stoichiometry (eV per atom) = 0.022
- space-group type = No. 123
- ΔH_f (0 K) (eV/atom) = -0.009